HoTlCoCl6 | GGA-PBE | optimized geometry

Cell lengths 6.6484, 6.6484, 7.1556 Å; angles 89.88, 90.12, 59.83 degrees
Closest atoms and distances in Å follow each position.
Sites, in units of the cell vectors:
Cl (0.3865, 0.6330, 0.2939)  1 Co 2.47, 1 Ho 2.64
Cl (0.9800, 0.3805, 0.2975)  1 Co 2.47, 1 Ho 2.64
Cl (0.9798, 0.6387, 0.7023)  1 Co 2.46, 1 Ho 2.64
Cl (0.3805, 0.9801, 0.7025)  1 Co 2.47, 1 Ho 2.64
Cl (0.6329, 0.3867, 0.7061)  1 Co 2.47, 1 Ho 2.64
Cl (0.6388, 0.9798, 0.2976)  1 Co 2.46, 1 Ho 2.64
Ho (0.3338, 0.3338, 0.5000)  6 Cl 2.64
Co (0.6669, 0.6670, 0.5000)  6 Cl 2.46-2.47
Tl (0.0005, 0.0005, 0.0000)  6 Cl 3.26-3.27

Computed properties:
SG: No. 5
V, A^3/atom: 30.38
E_form (uncorrected), eV/f.u.: -12.80
VASP energy, eV/atom: -4.214
Magnetization, μB/f.u.: 3.00